Crystalline NaMn2As at its relaxed geometry, computed with PBE.

Results
- Magnetization: 7.282 μB per formula unit
- DFT formation energy: 1.787 eV/f.u.
- Final energy: -45.042 eV/cell
- SG: I-42d, No. 122

a = 4.8609 Å, b = 4.8609 Å, c = 9.0734 Å
α = 74.46°, β = 74.46°, γ = 90.00°
Closest atoms and distances in Å follow each position.
Positions (direct):
Mn1 0.3750 0.1183 0.7500  2 As 2.43, 2 Mn 2.43
Mn2 0.8750 0.1317 0.7500  2 As 2.43, 2 Mn 2.43
Mn3 0.8683 0.6250 0.2500  2 As 2.43, 2 Mn 2.43
Mn4 0.8817 0.1250 0.2500  2 As 2.43, 2 Mn 2.43
Na1 0.5000 0.5000 0.0000  8 Mn 3.41-3.46, 4 As 3.44
Na2 0.2500 0.7500 0.5000  8 Mn 3.41-3.46, 4 As 3.44
As1 0.7500 0.2500 0.5000  4 Mn 2.43
As2 0.0000 0.0000 0.0000  4 Mn 2.43